Below is a geometry-optimized PrSmDy2Y structure, with properties calculated at the GGA-PBE level.

Unit cell a=7.211 b=8.424 c=7.180 alpha=125.92 beta=90.00 gamma=90.00
Sites, in units of the cell vectors:
Sm 0.250 0.012 0.023
Sm 0.750 0.988 0.977
Y 0.250 0.729 0.458
Y 0.750 0.271 0.542
Pr 0.250 0.277 0.554
Pr 0.750 0.723 0.446
Dy 0.500 0.688 0.000
Dy 0.000 0.688 0.000
Dy 0.500 0.312 0.000
Dy 0.000 0.312 0.000

Properties
Calculated formation energy: 0.37 eV per atom
Magnetization: 0.00 μB per cell
Space group: No. 63
Density: 6.630 g/cm3